[1]
The following is a PBE calculation of a relaxed NiPd8Pt6 crystal, from Alexandria via LeMat-Bulk.

a = 5.360 Å, b = 7.382 Å, c = 7.382 Å
α = 120.00°, β = 90.00°, γ = 90.00°
Fractional coordinates of all 15 atoms:
Ni: 0.500 0.000 0.000
Pd: 0.894 0.965 0.319
Pd: 0.894 0.681 0.646
Pd: 0.894 0.354 0.035
Pd: 0.106 0.035 0.681
Pd: 0.106 0.319 0.354
Pd: 0.106 0.646 0.965
Pd: 0.737 0.333 0.667
Pd: 0.263 0.667 0.333
Pt: 0.607 0.678 0.025
Pt: 0.607 0.975 0.653
Pt: 0.607 0.347 0.322
Pt: 0.393 0.322 0.975
Pt: 0.393 0.025 0.347
Pt: 0.393 0.653 0.678

Output
Theoretical density, g/cm³: 13.7
Spin magnetization, μB per formula unit: 0.14
Energy of formation, eV per formula unit: 3.09
Offset from the most stable computed form, eV per atom: 0.000
Density of states at the Fermi level, states/eV/cell: 32.24

---

[2]
The following is a PBE calculation of a relaxed NiPd8Pt3 crystal, from Alexandria via LeMat-Bulk.

a = 7.073 Å, b = 7.073 Å, c = 7.073 Å
α = 77.64°, β = 127.37°, γ = 127.37°
Fractional coordinates of all 12 atoms:
Ni: 0.000 0.000 0.000
Pd: 0.482 0.118 0.118
Pd: 0.518 0.637 0.637
Pd: 0.000 0.882 0.363
Pd: 0.000 0.363 0.882
Pd: 0.482 0.363 0.363
Pd: 0.518 0.882 0.882
Pd: 0.000 0.637 0.118
Pd: 0.000 0.118 0.637
Pt: 0.500 0.750 0.250
Pt: 0.500 0.250 0.750
Pt: 0.000 0.500 0.500

Output
Theoretical density, g/cm³: 11.5
Spin magnetization, μB per formula unit: 2.49
Energy of formation, eV per formula unit: 4.58
Density of states at the Fermi level, states/eV/cell: 21.39

---

[3]
The following is a PBE calculation of a relaxed Ni8Pd2Pt crystal, from Alexandria via LeMat-Bulk.

a = 3.882 Å, b = 7.485 Å, c = 6.282 Å
α = 53.43°, β = 89.98°, γ = 89.96°
Fractional coordinates of all 11 atoms:
Ni: 0.500 0.703 0.260
Ni: 0.500 0.963 0.740
Ni: 0.000 0.662 0.000
Ni: 0.000 0.759 0.478
Ni: 0.000 0.237 0.522
Ni: 0.000 0.331 0.000
Ni: 0.500 0.030 0.260
Ni: 0.500 0.290 0.740
Pd: 0.500 0.369 0.254
Pd: 0.500 0.624 0.746
Pt: 0.000 0.997 0.000

Output
Theoretical density, g/cm³: 9.9
Spin magnetization, μB per formula unit: 6.41
Energy of formation, eV per formula unit: 2.73
Offset from the most stable computed form, eV per atom: 0.074
Density of states at the Fermi level, states/eV/cell: 17.76

---

[4]
The following is a PBE calculation of a relaxed Ni2Pd4Pt crystal, from Alexandria via LeMat-Bulk.

a = 6.512 Å, b = 6.512 Å, c = 6.512 Å
α = 109.49°, β = 109.44°, γ = 109.49°
Fractional coordinates of all 14 atoms:
Ni: 0.875 0.111 0.486
Ni: 0.514 0.389 0.625
Ni: 0.375 0.889 0.764
Ni: 0.236 0.611 0.125
Pd: 0.146 0.919 0.390
Pd: 0.610 0.756 0.530
Pd: 0.977 0.581 0.720
Pd: 0.280 0.256 0.860
Pd: 0.604 0.744 0.023
Pd: 0.773 0.244 0.854
Pd: 0.470 0.081 0.227
Pd: 0.140 0.419 0.396
Pt: 0.000 0.000 0.000
Pt: 0.750 0.500 0.250

Output
Theoretical density, g/cm³: 11.5
Spin magnetization, μB per formula unit: 1.11
Energy of formation, eV per formula unit: 1.85
Offset from the most stable computed form, eV per atom: 0.000
Density of states at the Fermi level, states/eV/cell: 26.53

---

[5]
The following is a PBE calculation of a relaxed Ni2Pd9Pt crystal, from Alexandria via LeMat-Bulk.

a = 3.897 Å, b = 3.897 Å, c = 11.706 Å
α = 90.00°, β = 90.00°, γ = 90.00°
Fractional coordinates of all 12 atoms:
Ni: 0.000 0.000 0.336
Ni: 0.000 0.000 0.664
Pd: 0.500 0.500 0.000
Pd: 0.500 0.500 0.337
Pd: 0.500 0.500 0.663
Pd: 0.500 0.000 0.173
Pd: 0.500 0.000 0.500
Pd: 0.500 0.000 0.827
Pd: 0.000 0.500 0.173
Pd: 0.000 0.500 0.500
Pd: 0.000 0.500 0.827
Pt: 0.000 0.000 0.000

Output
Theoretical density, g/cm³: 11.9
Spin magnetization, μB per formula unit: 4.42
Energy of formation, eV per formula unit: 0.17
Density of states at the Fermi level, states/eV/cell: 21.39

---

[6]
The following is a PBE calculation of a relaxed NiPd3Pt3 crystal, from Alexandria via LeMat-Bulk.

a = 5.460 Å, b = 5.460 Å, c = 7.575 Å
α = 87.94°, β = 87.94°, γ = 79.65°
Fractional coordinates of all 14 atoms:
Ni: 0.003 0.003 0.219
Ni: 0.997 0.997 0.781
Pd: 0.236 0.236 0.981
Pd: 0.483 0.041 0.285
Pd: 0.041 0.483 0.285
Pd: 0.517 0.959 0.715
Pd: 0.959 0.517 0.715
Pd: 0.764 0.764 0.019
Pt: 0.469 0.469 0.700
Pt: 0.188 0.812 0.500
Pt: 0.812 0.188 0.500
Pt: 0.280 0.720 0.000
Pt: 0.720 0.280 0.000
Pt: 0.531 0.531 0.300

Output
Theoretical density, g/cm³: 14.4
Spin magnetization, μB per formula unit: 1.31
Energy of formation, eV per formula unit: 0.79
Offset from the most stable computed form, eV per atom: 0.000
Density of states at the Fermi level, states/eV/cell: 24.12

---

[7]
The following is a PBE calculation of a relaxed Ni2Pd2Pt crystal, from Alexandria via LeMat-Bulk.

a = 2.728 Å, b = 3.680 Å, c = 7.261 Å
α = 104.68°, β = 100.85°, γ = 90.00°
Fractional coordinates of all 5 atoms:
Ni: 0.096 0.096 0.192
Ni: 0.904 0.904 0.808
Pd: 0.695 0.696 0.391
Pd: 0.305 0.304 0.609
Pt: 0.500 0.500 0.000

Output
Theoretical density, g/cm³: 12.6
Spin magnetization, μB per formula unit: 2.53
Energy of formation, eV per formula unit: -0.12
Offset from the most stable computed form, eV per atom: 0.000
Density of states at the Fermi level, states/eV/cell: 7.66

---

[8]
The following is a PBE calculation of a relaxed Ni6Pd2Pt crystal, from Alexandria via LeMat-Bulk.

a = 6.478 Å, b = 4.540 Å, c = 4.540 Å
α = 65.33°, β = 76.97°, γ = 76.97°
Fractional coordinates of all 9 atoms:
Ni: 0.314 0.303 0.782
Ni: 0.481 0.758 0.758
Ni: 0.314 0.782 0.303
Ni: 0.686 0.697 0.218
Ni: 0.519 0.242 0.242
Ni: 0.686 0.218 0.697
Pd: 0.910 0.678 0.678
Pd: 0.090 0.322 0.322
Pt: 0.000 0.000 0.000

Output
Theoretical density, g/cm³: 10.8
Spin magnetization, μB per formula unit: 4.96
Energy of formation, eV per formula unit: 1.10
Offset from the most stable computed form, eV per atom: 0.116
Density of states at the Fermi level, states/eV/cell: 15.77